(1)
Below is a relaxed MgCrHg2 crystal, with properties calculated at the GGA-PBEsol level.

- DOS at the Fermi energy: 0.486 states/eV/atom
- Formation enthalpy at 0 K: 236 meV per atom
- Size of the total moment: 3.95 μB/f.u.

Lattice parameters (Å, degrees): 3.2174 3.2174 26.6824 90.00 90.00 120.00
With the nearest neighbours (Å) after each atom.
Space group R-3m (No. 166, hexagonal axes)
Inequivalent atoms, fractional coordinates:
Mg (0.0000, 0.0000, 0.0000)  6 Hg 2.96, 6 Mg 3.22
Cr (0.0000, 0.0000, 0.5000)  6 Hg 2.84
Hg (0.0000, 0.0000, 0.2471)  3 Cr 2.84, 3 Mg 2.96

(2)
Below is a relaxed Ni5Ir crystal, with properties calculated at the GGA-PBEsol level.

- DOS at the Fermi energy: 1.898 states/eV/atom
- Formation enthalpy at 0 K: 51 meV per atom
- Polymorph energy (0 for the lowest one): 0.026 eV per atom
- Size of the total moment: 3.52 μB/f.u.

Lattice parameters (Å, degrees): 4.0773 2.5460 12.8951 90.00 90.00 90.00
With the nearest neighbours (Å) after each atom.
Space group Amm2 (No. 38)
Inequivalent atoms, fractional coordinates:
Ni (0.0000, 0.0000, 0.0000)  10 Ni 2.45-2.58, 2 Ir 2.53
Ni (0.0000, 0.0000, 0.3264)  8 Ni 2.47-2.58, 4 Ir 2.52
Ni (0.0000, 0.0000, 0.6622)  12 Ni 2.45-2.55
Ni (0.5000, 0.0000, 0.2144)  10 Ni 2.43-2.55, 2 Ir 2.53
Ni (0.5000, 0.0000, 0.5535)  10 Ni 2.43-2.55, 2 Ir 2.53
Ir (0.5000, 0.0000, 0.8841)  10 Ni 2.52-2.53, 2 Ir 2.55

(3)
Below is a relaxed CuRuCl2 crystal, with properties calculated at the GGA-PBEsol level.

- DOS at the Fermi energy: 0.597 states/eV/atom
- Polymorph energy (0 for the lowest one): 0.280 eV per atom
- Formation energy from raw total energies: 2.081 eV/f.u.
- Size of the total moment: 0.00 μB/f.u.

Lattice parameters (Å, degrees): 4.3341 4.3341 3.0006 90.00 90.00 90.00
With the nearest neighbours (Å) after each atom.
Space group P4/mmm (No. 123)
Inequivalent atoms, fractional coordinates:
Cu (0.0000, 0.0000, 0.0000)  8 Cl 2.64
Ru (0.5000, 0.5000, 0.0000)  8 Cl 2.64
Cl (0.0000, 0.5000, 0.5000)  4 Ru 2.64, 4 Cu 2.64

(4)
Below is a relaxed AgAs2 crystal, with properties calculated at the GGA-PBEsol level.

- DOS at the Fermi energy: 0.468 states/eV/atom
- Formation enthalpy at 0 K: 396 meV per atom
- Size of the total moment: 0.00 μB/f.u.

Lattice parameters (Å, degrees): 4.7363 4.7363 5.6612 90.00 90.00 120.00
With the nearest neighbours (Å) after each atom.
Space group P6_3/mmc (No. 194)
Inequivalent atoms, fractional coordinates:
Ag (0.3333, 0.6667, 0.2500)  5 As 2.73-2.83
As (0.0000, 0.0000, 0.0000)  8 As 2.83-3.08, 6 Ag 3.08
As (0.3333, 0.6667, 0.7500)  5 Ag 2.73-2.83

(5)
Below is a relaxed In3Pb4 crystal, with properties calculated at the GGA-PBEsol level.

- DOS at the Fermi energy: 0.403 states/eV/atom
- Formation enthalpy at 0 K: 64 meV per atom
- Size of the total moment: 0.00 μB/f.u.

Lattice parameters (Å, degrees): 6.0536 6.0536 6.2654 90.00 90.00 120.00
With the nearest neighbours (Å) after each atom.
Space group P6/mmm (No. 191)
Inequivalent atoms, fractional coordinates:
In (0.0000, 0.5000, 0.0000)  4 In 3.03
Pb (0.0000, 0.0000, 0.2556)  2 Pb 3.06-3.20, 6 In 3.42
Pb (0.3333, 0.6667, 0.5000)  9 Pb 3.50-3.82, 6 In 3.59

(6)
Below is a relaxed InIrI2N crystal, with properties calculated at the GGA-PBEsol level.

- DOS at the Fermi energy: 1.218 states/eV/atom
- Formation energy from raw total energies: 8.004 eV/f.u.
- Size of the total moment: 3.14 μB/f.u.

Lattice parameters (Å, degrees): 5.7571 5.7571 3.8874 90.00 90.00 90.00
With the nearest neighbours (Å) after each atom.
Space group P4/mmm (No. 123)
Inequivalent atoms, fractional coordinates:
In (0.0000, 0.0000, 0.0000)  2 N 1.94
Ir (0.5000, 0.5000, 0.5000)  8 I 3.47, 2 Ir 3.89
I (0.0000, 0.5000, 0.0000)  2 In 2.88
N (0.0000, 0.0000, 0.5000)  2 In 1.94

(7)
Below is a relaxed RbAsP2O crystal, with properties calculated at the GGA-PBEsol level.

- DOS at the Fermi energy: 0.754 states/eV/atom
- Formation energy from raw total energies: 1.538 eV/f.u.
- Size of the total moment: 0.00 μB/f.u.

Lattice parameters (Å, degrees): 5.1301 5.1301 3.7918 90.00 90.00 90.00
With the nearest neighbours (Å) after each atom.
Space group P4/mmm (No. 123)
Inequivalent atoms, fractional coordinates:
Rb (0.0000, 0.0000, 0.0000)  8 P 3.19
As (0.5000, 0.5000, 0.5000)  2 O 1.90
P (0.0000, 0.5000, 0.5000)  2 As 2.57
O (0.5000, 0.5000, 0.0000)  2 As 1.90

(8)
Below is a relaxed Tc2MoPb crystal, with properties calculated at the GGA-PBEsol level.

- DOS at the Fermi energy: 0.805 states/eV/atom
- Formation enthalpy at 0 K: 560 meV per atom
- Size of the total moment: 0.00 μB/f.u.

Lattice parameters (Å, degrees): 2.9205 4.0994 5.6666 90.00 97.87 90.00
With the nearest neighbours (Å) after each atom.
Space group P2/m (No. 10)
Inequivalent atoms, fractional coordinates:
Tc (0.1133, 0.0000, 0.2894)  2 Mo 2.56, 1 Tc 2.56
Mo (0.5000, 0.5000, 0.5000)  4 Tc 2.56, 2 Pb 2.83
Pb (0.5000, 0.5000, 0.0000)  2 Mo 2.83, 2 Pb 2.92, 8 Tc 2.95-3.05

(9)
Below is a relaxed Si2TcMo crystal, with properties calculated at the GGA-PBEsol level.

- DOS at the Fermi energy: 0.639 states/eV/atom
- Polymorph energy (0 for the lowest one): 0.308 eV per atom
- Formation energy from raw total energies: -0.832 eV/f.u.
- Size of the total moment: 0.00 μB/f.u.

Lattice parameters (Å, degrees): 8.0219 2.8410 4.9399 90.00 101.51 90.00
With the nearest neighbours (Å) after each atom.
Space group C2/m (No. 12)
Inequivalent atoms, fractional coordinates:
Si (0.2459, 0.0000, 0.2265)  3 Tc 2.51, 3 Mo 2.60-2.63, 2 Si 2.66
Tc (0.0000, 0.5000, 0.0000)  6 Si 2.51
Mo (0.0000, 0.0000, 0.5000)  6 Si 2.60-2.63, 2 Mo 2.84, 4 Tc 2.85

(10)
Below is a relaxed LiSb2As crystal, with properties calculated at the GGA-PBEsol level.

- DOS at the Fermi energy: 0.311 states/eV/atom
- Formation energy from raw total energies: -0.634 eV/f.u.
- Size of the total moment: 0.00 μB/f.u.

Lattice parameters (Å, degrees): 3.0567 3.9177 7.5038 90.00 90.00 90.00
With the nearest neighbours (Å) after each atom.
Space group Pmm2 (No. 25)
Inequivalent atoms, fractional coordinates:
Li (0.0000, 0.0000, 0.0000)  4 As 2.78, 2 Li 3.06, 4 Sb 3.08
Sb (0.5000, 0.0000, 0.4397)  2 As 2.84, 4 Sb 3.06-3.09
Sb (0.5000, 0.5000, 0.7578)  4 Sb 3.06-3.09, 1 As 3.07, 4 Li 3.08
As (0.5000, 0.5000, 0.1666)  4 Li 2.78, 3 Sb 2.84-3.07, 2 As 3.06

(11)
Below is a relaxed Cu5Bi2B4O14 crystal, with properties calculated at the GGA-PBEsol level.

- DOS at the Fermi energy: 0.177 states/eV/atom
- Formation energy from raw total energies: -35.495 eV/f.u.
- Size of the total moment: 4.87 μB/f.u.

Lattice parameters (Å, degrees): 3.5152 9.0916 10.0866 67.81 82.44 83.35
With the nearest neighbours (Å) after each atom.
Space group P-1 (No. 2)
Inequivalent atoms, fractional coordinates:
Cu (0.0000, 0.0000, 0.0000)  4 O 1.94-1.97
Cu (0.0000, 0.5000, 0.5000)  4 O 1.93-2.03
Cu (0.0547, 0.1787, 0.6513)  4 O 1.91-1.95
Cu (0.5000, 0.0000, 0.5000)  4 O 1.88-1.91
Bi (0.4885, 0.6436, 0.1720)  3 O 2.18-2.27
B (0.1333, 0.2970, 0.3293)  3 O 1.36-1.40
B (0.4923, 0.1375, 0.1893)  3 O 1.36-1.41
O (0.0069, 0.4498, 0.3199)  1 B 1.38
O (0.0590, 0.1965, 0.8343)  2 Cu 1.92-1.94
O (0.1118, 0.1727, 0.4585)  1 B 1.36
O (0.2877, 0.2750, 0.2024)  2 B 1.40-1.41
O (0.3548, 0.6577, 0.3844)  2 Cu 1.91-1.93
O (0.3869, 0.9844, 0.6923)  1 B 1.36
O (0.4283, 0.8690, 0.9445)  1 B 1.36

(12)
Below is a relaxed K2Te2Br crystal, with properties calculated at the GGA-PBEsol level.

- DOS at the Fermi energy: 0.179 states/eV/atom
- Formation energy from raw total energies: -5.008 eV/f.u.
- Size of the total moment: 0.00 μB/f.u.

Lattice parameters (Å, degrees): 4.3671 4.3671 18.3787 90.00 90.00 90.00
With the nearest neighbours (Å) after each atom.
Space group I4/mmm (No. 139)
Inequivalent atoms, fractional coordinates:
K (0.0000, 0.0000, 0.0979)  4 Te 3.55, 4 Br 3.57, 1 K 3.60
Te (0.0000, 0.5000, 0.2500)  4 Te 3.09
Br (0.0000, 0.0000, 0.5000)  8 K 3.57

(13)
Below is a relaxed MgGeIN2 crystal, with properties calculated at the GGA-PBEsol level.

- DOS at the Fermi energy: 0.325 states/eV/atom
- Formation energy from raw total energies: 4.235 eV/f.u.
- Size of the total moment: 0.30 μB/f.u.

Lattice parameters (Å, degrees): 3.8397 3.8397 6.0057 90.00 90.00 90.00
With the nearest neighbours (Å) after each atom.
Space group P4/mmm (No. 123)
Inequivalent atoms, fractional coordinates:
Mg (0.0000, 0.0000, 0.0000)  4 I 2.72
Ge (0.5000, 0.5000, 0.5000)  4 N 1.92
I (0.5000, 0.5000, 0.0000)  4 Mg 2.72, 2 Ge 3.00
N (0.0000, 0.5000, 0.5000)  2 Ge 1.92

| no. | final energy (eV/atom) |
| --- | --- |
| 1 | -3.04 |
| 2 | -6.72 |
| 3 | -4.11 |
| 4 | -4.11 |
| 5 | -3.50 |
| 6 | -3.37 |
| 7 | -4.29 |
| 8 | -9.02 |
| 9 | -8.84 |
| 10 | -4.21 |
| 11 | -6.69 |
| 12 | -3.24 |
| 13 | -4.25 |